Tl2NiSb | PBE | optimized geometry

Cell: 4.272 4.272 7.492 Å, 73.50 73.50 60.02°
Positions (direct):
Ni 0.531 0.531 0.408
Sb 0.212 0.212 0.363
Tl 0.982 0.982 0.053
Tl 0.774 0.774 0.675

Values from the calculation:
* E_form (uncorrected): 14 meV/atom
* distance to the lowest polymorph of the same formula: 0.000 eV/atom
* DOS(E_F): 2.17 states/eV/cell
* DFT total energy: -3.645 eV/atom